This record from Alexandria describes ZrUB4 after structural relaxation. The functional is GGA-PBE.

Geometry as POSCAR:
```
ZrUB4
1.0
-0.294 -3.454 -0.143
3.401 -0.264 -0.632
-0.545 1.542 5.945
Zr U B
1 1 4
direct
0.250 0.750 0.500 Zr
0.000 0.000 0.000 U
0.671 0.171 0.342 B
0.583 0.583 0.166 B
0.829 0.329 0.658 B
0.417 0.417 0.834 B
```

Computed properties:
The space group is I-4m2 (119). Its magnetization is 1.40 Bohr magnetons per cell. For the density of states at the Fermi level, the calculation gives 0.886 states/eV/atom. The value obtained for the theoretical density is 9.1 Mg/m³. The formation energy comes out at -3.0 eV/f.u.